# 1
Computed, not measured: U3Al2Si3 after structural relaxation at the PBE-GGA level of DFT.

Lattice parameters (Å, degrees): 7.655 7.655 7.655 120.69 120.69 88.81
Fractional positions:
U  0.000  0.000  0.000
U  0.056  0.556  0.191
U  0.365  0.865  0.809
U  0.500  0.500  0.000
U  0.556  0.365  0.500
U  0.865  0.056  0.500
Al  0.046  0.546  0.782
Al  0.263  0.046  0.500
Al  0.546  0.763  0.500
Al  0.763  0.263  0.218
Si  0.176  0.379  0.500
Si  0.252  0.252  0.000
Si  0.379  0.879  0.203
Si  0.676  0.176  0.797
Si  0.752  0.752  0.000
Si  0.879  0.676  0.500

The value obtained for the total magnetization is 6.926 μB per formula unit. The value obtained for the calculated density is 9.0 Mg/m³. The space-group type is No. 108. Its crystal system is tetragonal. The energy relative to the elements, uncorrected is -1.77 eV/f.u. The density of states at the Fermi level is 28.34 states/eV per cell.

---

# 2
Computed, not measured: Pm2Pr5SmHo after structural relaxation at the PBE-GGA level of DFT.

Lattice parameters (Å, degrees): 10.268 10.268 10.268 128.92 128.92 75.15
Fractional positions:
Pm  0.118  0.618  0.736
Pm  0.382  0.118  0.500
Pm  0.618  0.882  0.500
Pm  0.882  0.382  0.264
Pr  0.000  0.000  0.000
Pr  0.071  0.148  0.500
Pr  0.148  0.648  0.077
Pr  0.352  0.429  0.500
Pr  0.429  0.929  0.077
Pr  0.500  0.500  0.000
Pr  0.571  0.071  0.923
Pr  0.648  0.571  0.500
Pr  0.852  0.352  0.923
Pr  0.929  0.852  0.500
Sm  0.250  0.250  0.000
Sm  0.750  0.750  0.000
Ho  0.250  0.750  0.500
Ho  0.750  0.250  0.500

The value obtained for the total magnetization is 0.000 μB per formula unit. The value obtained for the calculated density is 6.8 Mg/m³. The space-group type is No. 140. Its crystal system is tetragonal. The value obtained for the formation energy is 277.6 meV per atom. The density of states at the Fermi level is 30.58 states/eV per cell.

---

# 3
Computed, not measured: Ca2Ac8Tm after structural relaxation at the PBE-GGA level of DFT.

Lattice parameters (Å, degrees): 9.220 9.220 5.941 90.00 90.00 105.08
Fractional positions:
Ca  0.118  0.882  0.000
Ca  0.882  0.118  0.000
Ac  0.176  0.176  0.500
Ac  0.202  0.466  0.000
Ac  0.252  0.748  0.500
Ac  0.466  0.202  0.000
Ac  0.534  0.798  0.000
Ac  0.748  0.252  0.500
Ac  0.798  0.534  0.000
Ac  0.824  0.824  0.500
Tm  0.500  0.500  0.500

The value obtained for the total magnetization is 0.000 μB per formula unit. The value obtained for the calculated density is 7.0 Mg/m³. The space-group type is No. 65. Its crystal system is orthorhombic. The value obtained for the formation energy is 168.3 meV per atom. The density of states at the Fermi level is 16.58 states/eV per cell.

---

# 4
Computed, not measured: Pm2CuNi2 after structural relaxation at the PBE-GGA level of DFT.

Lattice parameters (Å, degrees): 5.329 5.329 7.892 102.13 102.13 61.06
Fractional positions:
Pm  0.011  0.288  0.150
Pm  0.288  0.011  0.650
Pm  0.712  0.989  0.350
Pm  0.989  0.712  0.850
Cu  0.356  0.644  0.250
Cu  0.644  0.356  0.750
Ni  0.234  0.500  0.495
Ni  0.500  0.234  0.995
Ni  0.500  0.766  0.005
Ni  0.766  0.500  0.505

The value obtained for the total magnetization is 0.000 μB per formula unit. The value obtained for the calculated density is 8.2 Mg/m³. The space-group type is No. 15. Its crystal system is monoclinic. The calculation puts the distance to the lowest polymorph of the same formula at 16.0 meV/atom. The value obtained for the formation energy is -296.8 meV per atom. The density of states at the Fermi level is 6.72 states/eV per cell.

---

# 5
Computed, not measured: Ac2SbPPd6 after structural relaxation at the PBE-GGA level of DFT.

Lattice parameters (Å, degrees): 6.375 6.393 7.265 64.47 64.31 60.38
Fractional positions:
Ac  0.236  0.234  0.294
Ac  0.764  0.766  0.706
Sb  0.500  0.500  0.500
P  0.000  0.000  0.000
Pd  0.237  0.241  0.822
Pd  0.239  0.694  0.827
Pd  0.305  0.760  0.174
Pd  0.695  0.240  0.826
Pd  0.761  0.306  0.173
Pd  0.763  0.759  0.178

The value obtained for the total magnetization is 0.000 μB per formula unit. The value obtained for the calculated density is 9.3 Mg/m³. The space-group type is No. 2. Its crystal system is triclinic. The energy relative to the elements, uncorrected is -7.87 eV/f.u. The density of states at the Fermi level is 3.39 states/eV per cell.

---

# 6
Computed, not measured: La8Tb3Pr2 after structural relaxation at the PBE-GGA level of DFT.

Lattice parameters (Å, degrees): 9.096 9.096 6.227 107.63 107.63 82.05
Fractional positions:
La  0.083  0.083  0.245
La  0.099  0.573  0.843
La  0.362  0.362  0.389
La  0.427  0.901  0.157
La  0.573  0.099  0.843
La  0.638  0.638  0.611
La  0.901  0.427  0.157
La  0.917  0.917  0.755
Tb  0.234  0.766  0.500
Tb  0.500  0.500  0.000
Tb  0.766  0.234  0.500
Pr  0.189  0.189  0.835
Pr  0.811  0.811  0.165

The value obtained for the total magnetization is 0.000 μB per formula unit. The value obtained for the calculated density is 6.6 Mg/m³. The space-group type is No. 12. Its crystal system is monoclinic. The calculation puts the distance to the lowest polymorph of the same formula at 0.0 meV/atom. The value obtained for the formation energy is 138.5 meV per atom. The density of states at the Fermi level is 20.86 states/eV per cell.

---

# 7
Computed, not measured: CeTm2OsN4 after structural relaxation at the PBE-GGA level of DFT.

Lattice parameters (Å, degrees): 6.034 6.034 11.427 90.00 90.00 147.57
Fractional positions:
Ce  0.116  0.884  0.750
Ce  0.884  0.116  0.250
Tm  0.370  0.630  0.544
Tm  0.370  0.630  0.956
Tm  0.630  0.370  0.044
Tm  0.630  0.370  0.456
Os  0.142  0.858  0.250
Os  0.858  0.142  0.750
N  0.000  0.000  0.000
N  0.000  0.000  0.500
N  0.270  0.730  0.128
N  0.270  0.730  0.372
N  0.455  0.545  0.750
N  0.545  0.455  0.250
N  0.730  0.270  0.628
N  0.730  0.270  0.872

The value obtained for the total magnetization is 0.000 μB per formula unit. The value obtained for the calculated density is 10.8 Mg/m³. The space-group type is No. 63. Its crystal system is orthorhombic. The energy relative to the elements, uncorrected is -8.46 eV/f.u. The density of states at the Fermi level is 8.31 states/eV per cell.

---

# 8
Computed, not measured: Ho6CN4 after structural relaxation at the PBE-GGA level of DFT.

Lattice parameters (Å, degrees): 7.135 7.135 7.135 91.94 91.94 91.94
Fractional positions:
Ho  0.029  0.946  0.685
Ho  0.054  0.315  0.971
Ho  0.185  0.446  0.529
Ho  0.315  0.971  0.054
Ho  0.446  0.529  0.185
Ho  0.471  0.815  0.554
Ho  0.529  0.185  0.446
Ho  0.554  0.471  0.815
Ho  0.685  0.029  0.946
Ho  0.815  0.554  0.471
Ho  0.946  0.685  0.029
Ho  0.971  0.054  0.315
C  0.000  0.000  0.000
C  0.500  0.500  0.500
N  0.098  0.750  0.402
N  0.250  0.250  0.250
N  0.250  0.598  0.902
N  0.402  0.098  0.750
N  0.598  0.902  0.250
N  0.750  0.402  0.098
N  0.750  0.750  0.750
N  0.902  0.250  0.598

The value obtained for the total magnetization is 0.000 μB per formula unit. The value obtained for the calculated density is 9.7 Mg/m³. The space-group type is No. 167. Its crystal system is trigonal. The energy relative to the elements, uncorrected is -7.76 eV/f.u. The density of states at the Fermi level is 10.85 states/eV per cell.

---

# 9
Computed, not measured: Rb2NaCI6 after structural relaxation at the PBE-GGA level of DFT.

Lattice parameters (Å, degrees): 8.188 8.188 8.188 120.06 120.06 89.90
Fractional positions:
Rb  0.250  0.750  0.500
Rb  0.750  0.250  0.500
Na  0.000  0.000  0.000
C  0.500  0.500  0.000
I  0.270  0.270  0.000
I  0.270  0.270  0.541
I  0.270  0.730  0.000
I  0.730  0.270  0.000
I  0.730  0.730  0.000
I  0.730  0.730  0.459

The value obtained for the total magnetization is 0.000 μB per formula unit. The value obtained for the calculated density is 4.1 Mg/m³. The space-group type is No. 139. Its crystal system is tetragonal. The energy relative to the elements, uncorrected is -2.73 eV/f.u. The density of states at the Fermi level is 13.11 states/eV per cell.

---

# 10
Computed, not measured: LiNdAgPd after structural relaxation at the PBE-GGA level of DFT.

Lattice parameters (Å, degrees): 4.946 4.946 4.946 60.00 60.00 60.00
Fractional positions:
Li  0.000  0.000  0.000
Nd  0.500  0.500  0.500
Ag  0.750  0.750  0.750
Pd  0.250  0.250  0.250

The value obtained for the total magnetization is 0.000 μB per formula unit. The value obtained for the calculated density is 7.1 Mg/m³. The space-group type is No. 216. Its crystal system is cubic. The calculation puts the distance to the lowest polymorph of the same formula at 70.8 meV/atom. The value obtained for the formation energy is -362.1 meV per atom. The density of states at the Fermi level is 2.94 states/eV per cell.

---

# 11
Computed, not measured: Ta2P after structural relaxation at the PBE-GGA level of DFT.

Lattice parameters (Å, degrees): 4.681 4.681 2.771 90.00 90.00 120.00
Fractional positions:
Ta  0.333  0.667  0.000
Ta  0.667  0.333  0.000
P  0.000  0.000  0.500

The value obtained for the total magnetization is 0.000 μB per formula unit. The value obtained for the calculated density is 12.4 Mg/m³. The space-group type is No. 191. Its crystal system is hexagonal. The value obtained for the formation energy is 654.9 meV per atom. The density of states at the Fermi level is 2.45 states/eV per cell.

---

# 12
Computed, not measured: BaMg2Te after structural relaxation at the PBE-GGA level of DFT.

Lattice parameters (Å, degrees): 7.383 7.383 4.721 108.50 108.50 125.94
Fractional positions:
Ba  0.000  0.000  0.000
Mg  0.000  0.500  0.000
Mg  0.500  0.000  0.000
Te  0.500  0.500  0.000

The value obtained for the total magnetization is 0.000 μB per formula unit. The value obtained for the calculated density is 3.5 Mg/m³. The space-group type is No. 12. Its crystal system is monoclinic. The energy relative to the elements, uncorrected is -1.77 eV/f.u. The density of states at the Fermi level is 1.33 states/eV per cell.

---

Which of these has the highest calculated density?
Ta2P

---

Which value of calculated density does entry 1 give?
9.0 Mg/m³

---

What is the total magnetization in the seventh record?
0.000 μB per formula unit